# Pa3VN2O6 PBE+U relaxed
# Crystal system = monoclinic
# M_tot = 3.96 Bohr magnetons per cell
# Total DFT energy (no corrections) = -9.473 eV per atom
data_Pa3VN2O6
_cell_length_a 11.055
_cell_length_b 6.946
_cell_length_c 4.618
_cell_angle_alpha 90.00
_cell_angle_beta 91.42
_cell_angle_gamma 90.00
_space_group_name_H-M_alt 'C 1 2/m 1'
_space_group_IT_number 12
loop_
_space_group_symop_operation_xyz
'x,y,z'
'-x,-y,-z'
'-x,y,-z'
'x,-y,z'
'x+1/2,y+1/2,z'
'-x+1/2,-y+1/2,-z'
'-x+1/2,y+1/2,-z'
'x+1/2,-y+1/2,z'
loop_
_atom_site_label
_atom_site_fract_x
_atom_site_fract_y
_atom_site_fract_z
_atom_site_occupancy
Pa1 0.000 0.000 0.000 1
Pa2 0.250 0.250 0.500 1
V1 0.000 0.500 0.500 1
N1 0.166 0.000 0.261 1
O1 0.080 0.257 0.738 1
O2 0.158 0.500 0.302 1